No. 1
A plane-wave DFT calculation with PBE was carried out for a geometry-optimized CaCoC structure.

Computed properties:
The space-group type is No. 14. The value obtained for the offset from the most stable computed form is 0 meV/atom.

Cell: 5.2987 6.2383 5.6349 Å, 90.00 109.21 90.00°
Sites, in units of the cell vectors:
C  0.6344  0.3363  0.1878
Ca  0.1852  0.4538  0.3312
Co  0.6533  0.6284  0.1130
Ca  0.6852  0.0462  0.8312
Ca  0.3148  0.9538  0.1688
Ca  0.8148  0.5462  0.6688
C  0.1344  0.1637  0.6878
Co  0.8467  0.1284  0.3870
C  0.8656  0.8363  0.3122
Co  0.3467  0.3716  0.8870
Co  0.1533  0.8716  0.6130
C  0.3656  0.6637  0.8122

***

No. 2
A plane-wave DFT calculation with PBE was carried out for a geometry-optimized ZrPaTiNb structure.

Computed properties:
The space-group type is No. 216.

Cell: 4.8966 4.8966 4.8966 Å, 60.00 60.00 60.00°
Sites, in units of the cell vectors:
Zr  0.0000  0.0000  0.0000
Nb  0.7500  0.7500  0.7500
Pa  0.5000  0.5000  0.5000
Ti  0.2500  0.2500  0.2500

***

Number 1: formation energy from the elements -0.128 eV per atom. Number 2: formation energy from the elements 0.072 eV per atom.